[1]
## K3NaP4H4O14 (PBE-GGA)

Data for an optimized crystal structure of K3NaP4H4O14.

Summary:
offset from the most stable computed form	0.000	eV per atom
VASP energy	-6.199	eV per atom

Cell lengths 9.3456, 9.3456, 11.3038 Å; angles 99.37, 99.37, 46.03 degrees
With the nearest neighbours (Å) after each atom.
Positions (direct):
1 K 0.1591 0.5605 0.7736  2 H 2.81-3.14, 6 O 2.84-2.99
2 K 0.1674 0.8326 0.5000  6 O 2.77-2.95
3 K 0.5467 0.8957 0.5478  6 O 2.77-2.93
4 K 0.5605 0.1591 0.2736  2 H 2.81-3.14, 6 O 2.84-2.99
5 K 0.8326 0.1674 0.0000  6 O 2.77-2.95
6 K 0.8957 0.5467 0.0478  6 O 2.77-2.93
7 Na 0.3626 0.8600 0.0250  6 O 2.40-2.44, 2 H 2.68
8 Na 0.8600 0.3626 0.5250  6 O 2.40-2.44, 2 H 2.68
9 P 0.0270 0.5570 0.4113  4 O 1.50-1.64
10 P 0.1413 0.1916 0.2663  4 O 1.50-1.63
11 P 0.1787 0.6790 0.1327  4 O 1.50-1.64
12 P 0.1916 0.1413 0.7663  4 O 1.50-1.63
13 P 0.5303 0.5797 0.2836  4 O 1.50-1.63
14 P 0.5570 0.0270 0.9113  4 O 1.50-1.64
15 P 0.5797 0.5303 0.7836  4 O 1.50-1.63
16 P 0.6790 0.1787 0.6327  4 O 1.50-1.64
17 H 0.2454 0.8795 0.7907  1 O 1.04
18 H 0.3368 0.3777 0.5112  1 O 1.06
19 H 0.3777 0.3368 0.0112  1 O 1.06
20 H 0.4768 0.8417 0.2597  1 O 1.04
21 H 0.7842 0.9505 0.7563  1 O 1.06
22 H 0.8417 0.4768 0.7597  1 O 1.04
23 H 0.8795 0.2454 0.2907  1 O 1.04
24 H 0.9505 0.7842 0.2563  1 O 1.06
25 O 0.0165 0.1783 0.3370  1 H 1.04
26 O 0.0411 0.4211 0.2935  2 P 1.63-1.64
27 O 0.0540 0.3547 0.8214  1 P 1.52, 1 H 1.55
28 O 0.1070 0.1700 0.1327  1 P 1.50
29 O 0.1700 0.1070 0.6327  1 P 1.50
30 O 0.1783 0.0165 0.8370  1 H 1.04
31 O 0.1794 0.7649 0.0320  1 P 1.50
32 O 0.2471 0.4680 0.4379  1 H 1.06
33 O 0.2573 0.4695 0.1092  1 H 1.43, 1 P 1.53
34 O 0.3017 0.6782 0.2540  2 P 1.63-1.64
35 O 0.3547 0.0540 0.3214  1 P 1.52, 1 H 1.55
36 O 0.3660 0.6695 0.7290  1 P 1.52, 1 H 1.53
37 O 0.4211 0.0411 0.7935  2 P 1.63-1.64
38 O 0.4680 0.2471 0.9379  1 H 1.06
39 O 0.4695 0.2573 0.6092  1 H 1.43, 1 P 1.53
40 O 0.5439 0.7050 0.2135  1 H 1.04
41 O 0.5467 0.9527 0.0149  1 P 1.50
42 O 0.5485 0.6161 0.4173  1 P 1.50
43 O 0.6161 0.5485 0.9173  1 P 1.50
44 O 0.6695 0.3660 0.2290  1 P 1.52, 1 H 1.53
45 O 0.6782 0.3017 0.7540  2 P 1.63-1.64
46 O 0.7050 0.5439 0.7135  1 H 1.04
47 O 0.7605 0.9004 0.8626  1 H 1.46, 1 P 1.53
48 O 0.7649 0.1794 0.5320  1 P 1.50
49 O 0.8259 0.9625 0.6797  1 H 1.06
50 O 0.9004 0.7605 0.3626  1 H 1.46, 1 P 1.53
51 O 0.9527 0.5467 0.5149  1 P 1.50
52 O 0.9625 0.8259 0.1797  1 H 1.06

=====

[2]
## AsRu2Se (PBE-GGA)

Data for an optimized crystal structure of AsRu2Se.

Summary:
E_form (uncorrected)	383.8	meV/atom
offset from the most stable computed form	0.429	eV per atom
VASP energy	-6.288	eV per atom

Cell lengths 2.8596, 2.8596, 10.0618 Å; angles 90.00, 90.00, 119.28 degrees
With the nearest neighbours (Å) after each atom.
Positions (direct):
1 As 0.0000 0.0000 0.0000  2 Ru 2.49
2 Ru 0.0000 0.0000 0.4280  2 Se 2.49, 2 Ru 2.70
3 Ru 0.5000 0.5000 0.2010  2 As 2.49, 2 Ru 2.70
4 Se 0.5000 0.5000 0.6298  2 Ru 2.49

=====

[3]
## NpScP2Ir5 (PBE-GGA)

Data for an optimized crystal structure of NpScP2Ir5.

Summary:
DFT formation energy	-0.46	eV/atom
VASP energy	-8.730	eV per atom

Cell lengths 3.9985, 3.9985, 10.6659 Å; angles 90.00, 90.00, 90.00 degrees
With the nearest neighbours (Å) after each atom.
Positions (direct):
1 Np 0.0000 0.0000 0.0000  4 Ir 2.83
2 Sc 0.0000 0.0000 0.5000  8 Ir 2.80
3 P 0.5000 0.5000 0.2157  5 Ir 2.27-2.30
4 P 0.5000 0.5000 0.7843  5 Ir 2.27-2.30
5 Ir 0.0000 0.5000 0.3166  2 P 2.27
6 Ir 0.0000 0.5000 0.6834  2 P 2.27
7 Ir 0.5000 0.0000 0.3166  2 P 2.27
8 Ir 0.5000 0.0000 0.6834  2 P 2.27
9 Ir 0.5000 0.5000 0.0000  2 P 2.30

=====

[4]
## ScIn2P (PBE-GGA)

Data for an optimized crystal structure of ScIn2P.

Summary:
DFT formation energy	-0.12	eV/atom
VASP energy	-4.426	eV per atom

Cell lengths 3.9084, 3.9084, 5.6426 Å; angles 90.00, 90.00, 90.00 degrees
With the nearest neighbours (Å) after each atom.
Positions (direct):
1 Sc 0.0000 0.0000 0.0000  2 P 2.82, 8 In 3.12
2 In 0.5000 0.5000 0.2550  2 In 2.76-2.88, 4 P 3.09
3 In 0.5000 0.5000 0.7450  2 In 2.76-2.88, 4 P 3.09
4 P 0.0000 0.0000 0.5000  2 Sc 2.82, 8 In 3.09

=====

[5]
## FeNiIr (PBE-GGA)

Data for an optimized crystal structure of FeNiIr.

Summary:
DFT formation energy	0.55	eV/atom
offset from the most stable computed form	0.564	eV per atom
VASP energy	-7.152	eV per atom

Cell lengths 2.5394, 4.2374, 4.3937 Å; angles 108.12, 90.07, 90.14 degrees
With the nearest neighbours (Å) after each atom.
Positions (direct):
1 Fe 0.0000 0.0000 0.0000  4 Ni 2.47, 4 Ir 2.54, 2 Fe 2.54
2 Ni 0.5000 0.5000 0.0000  4 Fe 2.47, 2 Ir 2.53, 2 Ni 2.54
3 Ir 0.5000 0.0000 0.5000  2 Ni 2.53, 4 Fe 2.54, 2 Ir 2.54

=====

[6]
## BaFeSnP (PBE-GGA)

Data for an optimized crystal structure of BaFeSnP.

Summary:
DFT formation energy	-0.57	eV/atom
VASP energy	-5.523	eV per atom

Cell lengths 4.0260, 4.0260, 12.0092 Å; angles 90.00, 90.00, 90.00 degrees
With the nearest neighbours (Å) after each atom.
Positions (direct):
1 Ba 0.2500 0.2500 0.2322  4 P 3.34, 4 Fe 3.44
2 Ba 0.7500 0.7500 0.7678  4 P 3.34, 4 Fe 3.44
3 Fe 0.2500 0.7500 0.0000  4 P 2.27
4 Fe 0.7500 0.2500 0.0000  4 P 2.27
5 Sn 0.2500 0.7500 0.5000  4 Sn 2.85
6 Sn 0.7500 0.2500 0.5000  4 Sn 2.85
7 P 0.2500 0.2500 0.9133  4 Fe 2.27
8 P 0.7500 0.7500 0.0867  4 Fe 2.27